# LiRhSe2

Crystalline LiRhSe2 at its relaxed geometry (PBE-GGA, Alexandria).

total magnetic moment: 0.000 μB/f.u.
DOS at the Fermi energy: 1.22 states/eV/f.u.
raw total energy: -18.07 eV/cell
space-group type: P2/m
ΔE_f (raw): -0.46 eV/atom

Cell: 3.663 4.671 4.746 Å, 76.04 90.00 90.00°
Atoms (fractional coordinates):
Li 0.500 0.250 0.250
Rh 0.500 0.750 0.750
Se 0.000 0.934 0.999
Se 0.000 0.566 0.501